## 1
Density functional theory data (GGA-PBE) for PmNd4Y after structural relaxation.

Unit cell a=8.341 b=8.341 c=3.512 alpha=90.00 beta=90.00 gamma=90.34
Atoms (fractional coordinates):
1 Pm 0.000 0.000 0.000
2 Nd 0.240 0.240 0.500
3 Nd 0.262 0.738 0.000
4 Nd 0.738 0.262 0.000
5 Nd 0.760 0.760 0.500
6 Y 0.500 0.500 0.500

Summary:
Space-group type ... Cmmm

## 2
Density functional theory data (GGA-PBE) for PmNd4Y after structural relaxation.

Unit cell a=3.663 b=5.171 c=10.957 alpha=90.00 beta=90.00 gamma=90.00
Atoms (fractional coordinates):
1 Pm 0.000 0.000 0.000
2 Nd 0.000 0.000 0.334
3 Nd 0.000 0.000 0.666
4 Nd 0.500 0.500 0.167
5 Nd 0.500 0.500 0.833
6 Y 0.500 0.500 0.500

Summary:
Space-group type ... Pmmm

Of them, 1 has the lowest stability.

## 1
Density functional theory data (GGA-PBE) for Pm12NdY6 after structural relaxation.

Unit cell a=8.690 b=8.690 c=8.690 alpha=89.13 beta=89.13 gamma=89.13
Atoms (fractional coordinates):
1 Pm 0.017 0.200 0.360
2 Pm 0.200 0.360 0.017
3 Pm 0.221 0.463 0.567
4 Pm 0.360 0.017 0.200
5 Pm 0.433 0.779 0.537
6 Pm 0.463 0.567 0.221
7 Pm 0.537 0.433 0.779
8 Pm 0.567 0.221 0.463
9 Pm 0.640 0.983 0.800
10 Pm 0.779 0.537 0.433
11 Pm 0.800 0.640 0.983
12 Pm 0.983 0.800 0.640
13 Nd 0.000 0.000 0.000
14 Y 0.098 0.698 0.260
15 Y 0.260 0.098 0.698
16 Y 0.302 0.740 0.902
17 Y 0.698 0.260 0.098
18 Y 0.740 0.902 0.302
19 Y 0.902 0.302 0.740

Summary:
Space-group type ... R-3

## 2
Density functional theory data (GGA-PBE) for Pm12NdY6 after structural relaxation.

Unit cell a=8.865 b=8.865 c=8.865 alpha=99.13 beta=99.13 gamma=99.13
Atoms (fractional coordinates):
1 Pm 0.000 0.257 0.743
2 Pm 0.000 0.743 0.257
3 Pm 0.146 0.146 0.420
4 Pm 0.146 0.420 0.146
5 Pm 0.257 0.000 0.743
6 Pm 0.257 0.743 0.000
7 Pm 0.420 0.146 0.146
8 Pm 0.580 0.854 0.854
9 Pm 0.743 0.000 0.257
10 Pm 0.743 0.257 0.000
11 Pm 0.854 0.580 0.854
12 Pm 0.854 0.854 0.580
13 Nd 0.500 0.500 0.500
14 Y 0.162 0.601 0.601
15 Y 0.399 0.399 0.838
16 Y 0.399 0.838 0.399
17 Y 0.601 0.162 0.601
18 Y 0.601 0.601 0.162
19 Y 0.838 0.399 0.399

Summary:
Space-group type ... R-3m

Of them, 2 has the lowest stability.

## 1
Density functional theory data (GGA-PBE) for PmNdY after structural relaxation.

Unit cell a=8.130 b=8.130 c=8.130 alpha=154.13 beta=154.13 gamma=36.91
Atoms (fractional coordinates):
1 Pm 0.000 0.000 0.000
2 Nd 0.668 0.668 0.000
3 Y 0.335 0.335 0.000

Summary:
Space-group type ... I4mm

## 2
Density functional theory data (GGA-PBE) for PmNdY after structural relaxation.

Unit cell a=6.755 b=6.755 c=6.755 alpha=129.51 beta=116.92 gamma=84.90
Atoms (fractional coordinates):
1 Pm 0.164 0.164 0.000
2 Pm 0.836 0.836 0.000
3 Nd 0.254 0.500 0.754
4 Nd 0.746 0.500 0.246
5 Y 0.333 0.833 0.500
6 Y 0.667 0.167 0.500

Summary:
Space-group type ... Immm

Of them, 2 has the lowest stability.

## 1
Density functional theory data (GGA-PBE) for PmNdYZn after structural relaxation.

Unit cell a=3.635 b=3.635 c=8.797 alpha=90.00 beta=90.00 gamma=90.00
Atoms (fractional coordinates):
1 Pm 0.000 0.000 0.000
2 Nd 0.500 0.500 0.299
3 Y 0.000 0.000 0.592
4 Zn 0.500 0.500 0.786

Summary:
Space-group type ... P4mm

## 2
Density functional theory data (GGA-PBE) for PmNdYZn after structural relaxation.

Unit cell a=5.445 b=5.445 c=5.445 alpha=60.00 beta=60.00 gamma=60.00
Atoms (fractional coordinates):
1 Pm 0.000 0.000 0.000
2 Nd 0.250 0.250 0.250
3 Y 0.750 0.750 0.750
4 Zn 0.500 0.500 0.500

Summary:
Space-group type ... F-43m

Of them, 2 has the lowest stability.

## 1
Density functional theory data (GGA-PBE) for Pm8Nd2Zn after structural relaxation.

Unit cell a=9.440 b=9.440 c=7.546 alpha=108.24 beta=108.24 gamma=34.91
Atoms (fractional coordinates):
1 Pm 0.013 0.013 0.277
2 Pm 0.185 0.185 0.728
3 Pm 0.344 0.344 0.565
4 Pm 0.397 0.397 0.078
5 Pm 0.603 0.603 0.922
6 Pm 0.656 0.656 0.435
7 Pm 0.815 0.815 0.272
8 Pm 0.987 0.987 0.723
9 Nd 0.185 0.185 0.169
10 Nd 0.815 0.815 0.831
11 Zn 0.500 0.500 0.500

Summary:
Space-group type ... C2/m

## 2
Density functional theory data (GGA-PBE) for Pm8Nd2Zn after structural relaxation.

Unit cell a=10.121 b=10.121 c=6.562 alpha=93.20 beta=93.20 gamma=32.67
Atoms (fractional coordinates):
1 Pm 0.039 0.039 0.252
2 Pm 0.155 0.155 0.809
3 Pm 0.346 0.346 0.881
4 Pm 0.422 0.422 0.391
5 Pm 0.578 0.578 0.609
6 Pm 0.654 0.654 0.119
7 Pm 0.845 0.845 0.191
8 Pm 0.961 0.961 0.748
9 Nd 0.237 0.237 0.332
10 Nd 0.763 0.763 0.668
11 Zn 0.500 0.500 0.000

Summary:
Space-group type ... C2/m

Of them, 1 has the lowest stability.

## 1
Density functional theory data (GGA-PBE) for PmNd3Zn2 after structural relaxation.

Unit cell a=3.690 b=3.690 c=12.504 alpha=90.00 beta=90.00 gamma=90.00
Atoms (fractional coordinates):
1 Pm 0.000 0.000 0.000
2 Nd 0.500 0.500 0.209
3 Nd 0.500 0.500 0.500
4 Nd 0.500 0.500 0.791
5 Zn 0.000 0.000 0.354
6 Zn 0.000 0.000 0.646

Summary:
Space-group type ... P4/mmm

## 2
Density functional theory data (GGA-PBE) for PmNd3Zn2 after structural relaxation.

Unit cell a=9.017 b=9.017 c=9.017 alpha=133.99 beta=68.43 gamma=132.31
Atoms (fractional coordinates):
1 Pm 0.000 0.000 0.000
2 Pm 0.500 0.500 0.000
3 Nd 0.024 0.250 0.774
4 Nd 0.250 0.750 0.500
5 Nd 0.476 0.250 0.226
6 Nd 0.524 0.750 0.774
7 Nd 0.750 0.250 0.500
8 Nd 0.976 0.750 0.226
9 Zn 0.138 0.703 0.841
10 Zn 0.362 0.203 0.566
11 Zn 0.638 0.797 0.434
12 Zn 0.862 0.297 0.159

Summary:
Space-group type ... Ibam

Of them, 2 has the lowest stability.